Record 1
Material: KU2Tl3S6
Method: DFT, PBE
State: relaxed

## Properties
The density of states at the Fermi level is 0.959 states/eV per atom. As for the energy relative to the elements, uncorrected: -1.016 eV/atom.

Unit cell a=9.8674 b=9.8674 c=8.9305 alpha=105.18 beta=105.18 gamma=23.90
Sites, in units of the cell vectors:
K1 0.0000 0.0000 0.0000
U1 0.3269 0.3269 0.6636
U2 0.6731 0.6731 0.3364
Tl1 0.0000 0.0000 0.5000
Tl2 0.3399 0.3399 0.1720
Tl3 0.6601 0.6601 0.8280
S1 0.1791 0.1791 0.1365
S2 0.1797 0.1797 0.5489
S3 0.4627 0.4627 0.7287
S4 0.5373 0.5373 0.2713
S5 0.8203 0.8203 0.4511
S6 0.8209 0.8209 0.8635

---

Record 2
Material: Na3MgRh3O8
Method: DFT, PBE
State: relaxed

## Properties
The density of states at the Fermi level is 0.434 states/eV per atom. As for the energy relative to the elements, uncorrected: -1.282 eV/atom.

Unit cell a=6.4533 b=6.4533 c=6.4533 alpha=57.02 beta=57.02 gamma=57.02
Sites, in units of the cell vectors:
Na1 0.0000 0.5000 0.5000
Na2 0.5000 0.0000 0.5000
Na3 0.5000 0.5000 0.0000
Mg1 0.5000 0.5000 0.5000
Rh1 0.0000 0.0000 0.5000
Rh2 0.0000 0.5000 0.0000
Rh3 0.5000 0.0000 0.0000
O1 0.2223 0.7352 0.7352
O2 0.2338 0.2338 0.2338
O3 0.2648 0.2648 0.7777
O4 0.2648 0.7777 0.2648
O5 0.7352 0.2223 0.7352
O6 0.7352 0.7352 0.2223
O7 0.7662 0.7662 0.7662
O8 0.7777 0.2648 0.2648

---

Record 3
Material: Ca2SiN3
Method: DFT, PBE
State: relaxed

## Properties
The density of states at the Fermi level is 0.196 states/eV per atom. As for the energy relative to the elements, uncorrected: -0.777 eV/atom.

Unit cell a=5.6663 b=5.6663 c=4.9716 alpha=90.00 beta=90.00 gamma=70.54
Sites, in units of the cell vectors:
Ca1 0.0104 0.3128 0.2500
Ca2 0.3128 0.0104 0.7500
Ca3 0.6872 0.9896 0.2500
Ca4 0.9896 0.6872 0.7500
Si1 0.4014 0.5986 0.2500
Si2 0.5986 0.4014 0.7500
N1 0.1377 0.8623 0.2500
N2 0.3626 0.3626 0.0000
N3 0.3626 0.3626 0.5000
N4 0.6374 0.6374 0.0000
N5 0.6374 0.6374 0.5000
N6 0.8623 0.1377 0.7500

---

The highest energy relative to the elements, uncorrected belongs to which entry?
Ca2SiN3

---

Which of these has the lowest energy relative to the elements, uncorrected?
Na3MgRh3O8